PBE NaLa2Tc2, optimized geometry; M_tot = 0.000 μB per atom; N(E_F) = 9.6 states/eV/cell; final energy = -30.08 eV/f.u.; theoretical density = 6.15 Mg/m³; SG = No. 127; energy of formation from the pure elements = 364.9 meV/atom; calculated volume = 26.81 Å³/atom
1.0
8.361 0.000 0.000
0.000 8.361 0.000
0.000 0.000 3.835
Na La Tc
2 4 4
Cartesian
0.000 0.000 0.000
4.181 4.181 0.000
1.488 2.692 1.918
2.692 6.873 1.918
5.669 1.488 1.918
6.873 5.669 1.918
0.801 4.981 0.000
3.380 0.801 0.000
4.981 7.561 0.000
7.561 3.380 0.000